4
Lattice="2.899 0.000 0.000 0.000 3.404 0.000 -0.042 0.000 6.029" Properties=species:S:1:pos:R:3 comment="Be2FePb | the Alexandria database | GGA-PBE | relaxed" formation_energy_mev_per_atom=472 energy_ev_per_cell=-17.7 spacegroup=Pm pbc="T T T"
Be 0.000 0.000 0.000
Be -0.008 1.702 1.293
Fe 1.405 1.702 5.564
Pb 0.158 0.000 3.425